Here is YCrHg after structural relaxation from the Alexandria database. Energies are from PBE.

Computed properties:
- Fermi-level density of states: 0.72 states/eV per atom
- ΔH_f (0 K): 0.348 eV per atom
- Mass density: 7.76 g cm⁻³
- E above lowest polymorph: 273.0 meV/atom

Unit cell a=3.4955 b=3.4955 c=6.9076 alpha=90.00 beta=90.00 gamma=120.00
Space group P3m1 (No. 156)
Unique sites:
Y  0.0000  0.0000  0.0000 x1
Cr  0.3333  0.6667  0.3413 x1
Hg  0.6667  0.3333  0.6419 x1